(1)
DFT (GGA-PBE) results for a geometry-optimized TiCd2PtI structure.

Structure (extended XYZ):
```
5
Lattice="5.579 0.000 0.000 0.000 5.579 0.000 0.000 0.000 5.058" Properties=species:S:1:pos:R:3 pbc="T T T"
Ti 0.000 0.000 0.000
Cd 0.000 2.789 2.529
Cd 2.789 0.000 2.529
Pt 2.789 2.789 0.000
I 2.789 2.789 2.529
```

Output
SG   P4/mmm, No. 123
Uncorrected energy   -2.117 eV per atom
E_form (uncorrected)   1.347 eV/atom



(2)
DFT (GGA-PBE) results for a geometry-optimized TlCd2PtI structure.

Structure (extended XYZ):
```
5
Lattice="5.350 0.000 0.000 0.000 5.350 0.000 0.000 0.000 5.385" Properties=species:S:1:pos:R:3 pbc="T T T"
Tl 0.000 0.000 0.000
Cd 0.000 2.675 2.692
Cd 2.675 0.000 2.692
Pt 0.000 0.000 2.692
I 2.675 2.675 0.000
```

Output
SG   P4/mmm, No. 123
Uncorrected energy   -2.587 eV per atom
E_form (uncorrected)   -0.229 eV/atom



For reference, density of states at the Fermi level by record: 12.531, 1.244 states/eV per cell.